# 1
The following is a DFT calculation (GGA-PBE) of a geometry-optimized Ac2ScCuO5 structure.

abc: 3.833 3.833 9.092
angles: 90.00 90.00 90.00
Element x y z (fractional)
Ac1 0.500 0.500 0.296
O1 0.500 0.500 0.000
O2 0.000 0.500 0.500
O3 0.000 0.000 0.219
Ac2 0.500 0.500 0.704
O4 0.500 0.000 0.500
Sc1 0.000 0.000 0.000
Cu1 0.000 0.000 0.500
O5 0.000 0.000 0.781

Computed properties:
mass density = 7.99 g/cm3
E_form (uncorrected) = -2559 meV/atom
D(E_F) = 0.1713 states/eV/atom

# 2
The following is a DFT calculation (GGA-PBE) of a geometry-optimized KHgAsS4 structure.

abc: 6.540 7.344 8.992
angles: 90.00 103.27 90.00
Element x y z (fractional)
Hg1 0.771 0.750 0.395
S1 0.005 0.518 0.287
S2 0.533 0.250 0.492
S3 0.467 0.750 0.508
Hg2 0.229 0.250 0.605
S4 0.005 0.982 0.287
As1 0.777 0.250 0.709
K1 0.213 0.250 0.052
S5 0.353 0.750 0.093
S6 0.995 0.018 0.713
As2 0.223 0.750 0.291
S7 0.647 0.250 0.907
K2 0.787 0.750 0.948
S8 0.995 0.482 0.713

Computed properties:
mass density = 3.50 g/cm3
E_form (uncorrected) = -325 meV/atom

# 3
The following is a DFT calculation (GGA-PBE) of a geometry-optimized LuZrGaAg structure.

abc: 4.908 4.908 4.908
angles: 60.00 60.00 60.00
Site moments in Bohr magnetons follow the coordinates.
Element x y z (fractional)
Ga1 0.750 0.750 0.750  -0.02
Lu1 0.500 0.500 0.500  0.19
Ag1 0.250 0.250 0.250  0.03
Zr1 0.000 0.000 0.000  0.41

Computed properties:
mass density = 8.81 g/cm3
total energy = -0.3714 Ry per atom
D(E_F) = 0.6233 states/eV/atom

# 4
The following is a DFT calculation (GGA-PBE) of a geometry-optimized DyZrCdIn structure.

abc: 5.133 5.133 5.133
angles: 60.00 60.00 60.00
Element x y z (fractional)
In1 0.250 0.250 0.250
Dy1 0.500 0.500 0.500
Zr1 0.000 0.000 0.000
Cd1 0.750 0.750 0.750

Computed properties:
mass density = 8.35 g/cm3
total energy = -0.3271 Ry per atom
D(E_F) = 0.4440 states/eV/atom

# 5
The following is a DFT calculation (GGA-PBE) of a geometry-optimized Mg6MnCd structure.

abc: 6.228 6.228 4.974
angles: 90.00 90.00 119.91
Site moments in Bohr magnetons follow the coordinates.
Element x y z (fractional)
Mg1 0.832 0.665 0.500  -0.02
Mg2 0.672 0.328 0.000  -0.01
Cd1 0.334 0.666 0.500  -0.03
Mg3 0.335 0.168 0.500  -0.02
Mn1 0.832 0.168 0.500  3.68
Mg4 0.167 0.833 0.000  0.01
Mg5 0.157 0.329 0.000  -0.01
Mg6 0.671 0.843 0.000  -0.01

Computed properties:
mass density = 3.11 g/cm3
total energy = -0.1759 Ry per atom
D(E_F) = 0.5309 states/eV/atom

# 6
The following is a DFT calculation (GGA-PBE) of a geometry-optimized TlICl6 structure.

abc: 7.011 7.020 7.648
angles: 62.77 62.72 59.98
Element x y z (fractional)
Cl1 0.977 0.612 0.223
Cl2 0.189 0.977 0.223
Cl3 0.389 0.810 0.778
Cl4 0.611 0.190 0.222
I1 0.000 0.000 0.000
Tl1 0.500 0.500 0.500
Cl5 0.811 0.023 0.777
Cl6 0.023 0.388 0.777

Computed properties:
mass density = 3.27 g/cm3
E_form (uncorrected) = -355 meV/atom
D(E_F) = 0.0000 states/eV/atom

# 7
The following is a DFT calculation (GGA-PBE) of a geometry-optimized Ca12Hg5P3 structure.

abc: 15.206 15.206 15.206
angles: 109.47 109.47 109.47
Element x y z (fractional)
Hg1 0.750 0.625 0.375
Hg2 0.500 0.000 0.000
P1 0.625 0.250 0.375
Hg3 0.000 0.500 0.500
Hg4 0.250 0.875 0.125
Ca1 0.768 0.436 0.375
Ca2 0.168 0.107 0.732
Ca3 0.393 0.268 0.332
Ca4 0.564 0.332 0.939
Hg5 0.750 0.125 0.875
Ca5 0.393 0.125 0.561
Ca6 0.607 0.875 0.439
Ca7 0.561 0.936 0.668
Hg6 0.500 0.500 0.500
Ca8 0.625 0.064 0.232
P2 0.250 0.125 0.375
Hg7 0.000 0.000 0.500
Ca9 0.564 0.232 0.125
Ca10 0.061 0.893 0.125
Hg8 0.000 0.000 0.000
Ca11 0.893 0.061 0.625
Ca12 0.125 0.393 0.061
P3 0.125 0.250 0.875
Ca13 0.064 0.625 0.732
Ca14 0.439 0.064 0.332
Ca15 0.875 0.268 0.436
Ca16 0.436 0.668 0.061
P4 0.750 0.875 0.625
Ca17 0.168 0.061 0.936
P5 0.375 0.625 0.250
Ca18 0.875 0.607 0.939
P6 0.250 0.625 0.875
Hg9 0.375 0.125 0.750
Ca19 0.668 0.436 0.561
P7 0.750 0.375 0.125
Ca20 0.107 0.168 0.232
Hg10 0.500 0.500 0.000
Hg11 0.375 0.250 0.125
Hg12 0.500 0.000 0.500
Hg13 0.250 0.375 0.625
Ca21 0.232 0.564 0.625
Ca22 0.125 0.732 0.564
Ca23 0.832 0.939 0.064
Ca24 0.625 0.561 0.893
P8 0.875 0.125 0.250
Ca25 0.268 0.393 0.832
Hg14 0.625 0.750 0.875
Hg15 0.000 0.500 0.000
Ca26 0.939 0.832 0.564
Hg16 0.875 0.625 0.750
Hg17 0.875 0.250 0.625
Ca27 0.732 0.607 0.168
P9 0.375 0.750 0.625
Ca28 0.561 0.625 0.393
Ca29 0.268 0.875 0.936
Ca30 0.668 0.232 0.607
Hg18 0.125 0.375 0.250
Ca31 0.375 0.439 0.107
Ca32 0.732 0.125 0.064
Ca33 0.064 0.439 0.832
Ca34 0.439 0.375 0.607
Ca35 0.832 0.893 0.268
Ca36 0.061 0.168 0.436
P10 0.875 0.750 0.125
Ca37 0.332 0.564 0.439
Ca38 0.375 0.936 0.768
P11 0.125 0.875 0.750
Ca39 0.936 0.561 0.168
Hg19 0.125 0.750 0.375
Ca40 0.332 0.768 0.393
Ca41 0.939 0.107 0.875
Ca42 0.768 0.332 0.893
Ca43 0.232 0.668 0.107
Hg20 0.625 0.875 0.250
Ca44 0.107 0.939 0.375
Ca45 0.893 0.832 0.768
Ca46 0.436 0.768 0.875
Ca47 0.607 0.732 0.668
Ca48 0.936 0.375 0.268
P12 0.625 0.375 0.750

Computed properties:
mass density = 3.87 g/cm3
total energy = -0.1772 Ry per atom
D(E_F) = 0.7256 states/eV/atom

# 8
The following is a DFT calculation (GGA-PBE) of a geometry-optimized BaPaPtN3 structure.

abc: 3.573 7.283 9.284
angles: 98.37 90.00 90.00
Element x y z (fractional)
N1 0.250 0.550 0.886
N2 0.750 0.212 0.612
Ba1 0.750 0.842 0.804
N3 0.750 0.450 0.114
N4 0.250 0.788 0.388
Pa1 0.750 0.340 0.868
N5 0.750 0.840 0.101
Pa2 0.250 0.660 0.132
Pt1 0.250 0.129 0.560
Pt2 0.750 0.871 0.440
N6 0.250 0.160 0.899
Ba2 0.250 0.158 0.196

Computed properties:
mass density = 8.41 g/cm3
E_form (uncorrected) = -767 meV/atom
D(E_F) = 0.0354 states/eV/atom

# 9
The following is a DFT calculation (GGA-PBE) of a geometry-optimized Li3Sm2Cd3 structure.

abc: 6.416 8.798 8.798
angles: 60.00 90.00 90.00
Element x y z (fractional)
Cd1 0.750 0.000 0.637
Cd2 0.250 0.637 0.000
Sm1 0.500 0.667 0.667
Sm2 0.000 0.333 0.333
Li1 0.250 0.278 0.000
Li2 0.750 0.722 0.000
Sm3 0.000 0.667 0.667
Cd3 0.750 0.637 0.363
Li3 0.750 0.278 0.722
Cd4 0.750 0.363 0.000
Li4 0.250 0.722 0.278
Li5 0.250 0.000 0.722
Li6 0.750 0.000 0.278
Cd5 0.250 0.363 0.637
Cd6 0.250 0.000 0.363
Sm4 0.500 0.333 0.333

Computed properties:
mass density = 5.09 g/cm3
total energy = -0.1723 Ry per atom
D(E_F) = 0.7325 states/eV/atom

# 10
The following is a DFT calculation (GGA-PBE) of a geometry-optimized KTc2As structure.

abc: 5.893 5.893 2.575
angles: 90.00 90.00 123.55
Element x y z (fractional)
As1 0.500 0.000 0.500
K1 0.000 0.500 0.500
Tc1 0.500 0.500 0.000
Tc2 0.000 0.000 0.000

Computed properties:
mass density = 6.91 g/cm3
total energy = -0.3976 Ry per atom
D(E_F) = 0.7088 states/eV/atom

# 11
The following is a DFT calculation (GGA-PBE) of a geometry-optimized NaHgOsCl6 structure.

abc: 6.770 6.770 11.474
angles: 90.00 90.00 120.00
Site moments in Bohr magnetons follow the coordinates.
Element x y z (fractional)
Cl1 0.658 0.045 0.369  0.03
Na1 0.667 0.333 0.750  0.00
Cl2 0.342 0.955 0.631  0.03
Os1 0.333 0.667 0.750  0.83
Cl3 0.612 0.955 0.869  0.03
Cl4 0.658 0.612 0.131  0.03
Os2 0.667 0.333 0.250  0.83
Cl5 0.955 0.342 0.131  0.03
Hg1 0.000 0.000 0.500  -0.06
Hg2 0.000 0.000 0.000  -0.06
Cl6 0.955 0.612 0.369  0.03
Cl7 0.388 0.045 0.131  0.03
Cl8 0.612 0.658 0.631  0.03
Cl9 0.045 0.658 0.869  0.03
Na2 0.333 0.667 0.250  0.00
Cl10 0.388 0.342 0.369  0.03
Cl11 0.045 0.388 0.631  0.03
Cl12 0.342 0.388 0.869  0.03

Computed properties:
mass density = 4.57 g/cm3
E_form (uncorrected) = -682 meV/atom
D(E_F) = 0.5061 states/eV/atom

# 12
The following is a DFT calculation (GGA-PBE) of a geometry-optimized ScReSi3 structure.

abc: 4.668 4.668 4.668
angles: 90.00 90.00 90.00
Element x y z (fractional)
Re1 0.000 0.000 0.000
Si1 0.500 0.000 0.000
Si2 0.000 0.000 0.500
Sc1 0.500 0.500 0.500
Si3 0.000 0.500 0.000

Computed properties:
mass density = 5.15 g/cm3
E_form (uncorrected) = 416 meV/atom
D(E_F) = 1.3057 states/eV/atom

# 13
The following is a DFT calculation (GGA-PBE) of a geometry-optimized CdHgPdAu structure.

abc: 3.478 3.478 6.215
angles: 90.00 90.00 90.00
Element x y z (fractional)
Au1 0.500 0.500 0.113
Pd1 0.500 0.500 0.603
Hg1 0.000 0.000 0.847
Cd1 0.000 0.000 0.365

Computed properties:
mass density = 13.62 g/cm3
total energy = -0.1898 Ry per atom
D(E_F) = 0.2993 states/eV/atom

# 14
The following is a DFT calculation (GGA-PBE) of a geometry-optimized DyGa2Pd7 structure.

abc: 4.514 7.108 7.108
angles: 117.91 90.00 90.00
Element x y z (fractional)
Ga1 0.500 0.300 0.700
Ga2 0.500 0.700 0.300
Pd1 0.500 0.932 0.693
Pd2 0.500 0.068 0.307
Pd3 0.500 0.500 0.500
Dy1 0.000 0.000 0.000
Pd4 0.500 0.307 0.068
Pd5 0.500 0.693 0.932
Pd6 0.000 0.226 0.774
Pd7 0.000 0.774 0.226

Computed properties:
mass density = 8.63 g/cm3
total energy = -0.3676 Ry per atom
D(E_F) = 0.4225 states/eV/atom

# 15
The following is a DFT calculation (GGA-PBE) of a geometry-optimized ThInHg2I6 structure.

abc: 8.346 8.346 9.427
angles: 63.66 63.66 59.93
Element x y z (fractional)
Hg1 0.007 0.007 0.980
Th1 0.331 0.331 0.006
I1 0.089 0.413 0.790
I2 0.577 0.204 0.229
I3 0.412 0.708 0.789
I4 0.708 0.089 0.791
In1 0.821 0.822 0.537
I5 0.989 0.578 0.229
I6 0.204 0.990 0.230
Hg2 0.523 0.521 0.434

Computed properties:
mass density = 5.14 g/cm3
E_form (uncorrected) = -647 meV/atom
D(E_F) = 0.6881 states/eV/atom

# 16
The following is a DFT calculation (GGA-PBE) of a geometry-optimized KGa3Tc structure.

abc: 4.911 4.911 4.911
angles: 90.00 90.00 90.00
Element x y z (fractional)
Ga1 0.000 0.000 0.500
Ga2 0.000 0.500 0.000
K1 0.500 0.500 0.500
Tc1 0.000 0.000 0.000
Ga3 0.500 0.000 0.000

Computed properties:
mass density = 4.86 g/cm3
total energy = -0.3150 Ry per atom
D(E_F) = 0.4749 states/eV/atom

# 17
The following is a DFT calculation (GGA-PBE) of a geometry-optimized Ag2Sb5Au structure.

abc: 8.197 8.197 6.534
angles: 129.01 129.01 89.97
Element x y z (fractional)
Sb1 0.798 0.275 0.073
Sb2 0.797 0.798 0.072
Au1 0.036 0.036 0.072
Ag1 0.280 0.781 0.560
Sb3 0.275 0.798 0.072
Sb4 0.275 0.275 0.073
Sb5 0.536 0.536 0.072
Ag2 0.781 0.280 0.560

Computed properties:
mass density = 8.47 g/cm3
E_form (uncorrected) = 96 meV/atom
D(E_F) = 0.4482 states/eV/atom

# 18
The following is a DFT calculation (GGA-PBE) of a geometry-optimized Pm8Si3PS4 structure.

abc: 8.274 8.289 8.274
angles: 119.94 120.00 90.00
Element x y z (fractional)
P1 0.000 0.500 0.000
Pm1 0.752 0.254 0.002
Pm2 0.250 0.254 0.002
Pm3 0.250 0.249 0.499
Pm4 0.248 0.746 0.496
S1 0.500 0.000 0.500
S2 0.000 0.000 0.500
Pm5 0.750 0.746 0.998
S3 0.000 0.000 0.000
Pm6 0.750 0.751 0.501
Pm7 0.752 0.254 0.504
S4 0.500 0.000 0.000
Si1 0.500 0.500 0.000
Si2 0.000 0.500 0.500
Pm8 0.248 0.746 0.998
Si3 0.500 0.500 0.500

Computed properties:
mass density = 5.80 g/cm3
E_form (uncorrected) = -1499 meV/atom
D(E_F) = 0.2794 states/eV/atom

# 19
The following is a DFT calculation (GGA-PBE) of a geometry-optimized RbBa2PmSe4 structure.

abc: 4.586 7.859 8.107
angles: 71.23 90.00 90.00
Element x y z (fractional)
Se1 0.000 0.262 0.279
Ba1 0.000 0.000 0.000
Pm1 0.000 0.500 0.500
Se2 0.000 0.738 0.721
Se3 0.500 0.272 0.724
Se4 0.500 0.728 0.276
Ba2 0.500 0.000 0.500
Rb1 0.500 0.500 0.000

Computed properties:
mass density = 4.93 g/cm3
E_form (uncorrected) = -1791 meV/atom